Entry 1:
# MgMnSi2

An optimized crystal structure of MgMnSi2 (GGA-PBE, the Alexandria database).

## Properties
- Space group: C2/m (12)
- Uncorrected formation energy: -0.34 eV per formula unit
- Crystal system: monoclinic
- VASP energy: -5.488 eV per atom
- Calculated density: 3.8 g/cm3
- Density of states at the Fermi level: 2.21 states/eV/f.u.

a b c (Å): 4.1805 4.1805 5.3273
angles (deg): 100.78 100.78 41.07
Last column: nearest neighbours and their distance in Å.
Positions (direct):
1 Mg 0.0000 0.0000 0.0000  6 Si 2.75-2.83, 2 Mg 2.93, 4 Mn 3.04
2 Mn 0.5000 0.5000 0.5000  6 Si 2.39-2.46
3 Si 0.2337 0.2337 0.6779  3 Mn 2.39-2.46, 2 Si 2.45
4 Si 0.7663 0.7663 0.3221  3 Mn 2.39-2.46, 2 Si 2.45

Entry 2:
# Zr2CuPd2

An optimized crystal structure of Zr2CuPd2 (GGA-PBE, the Alexandria database).

## Properties
- Space group: Cmmm (65)
- Crystal system: orthorhombic
- E above lowest polymorph: 88.6 meV/atom
- VASP energy: -6.646 eV per atom
- Calculated density: 8.5 g/cm3
- Density of states at the Fermi level: 4.93 states/eV/f.u.
- Formation energy from the elements: -331 meV per atom

a b c (Å): 6.8201 6.8201 2.9453
angles (deg): 90.00 90.00 139.08
Last column: nearest neighbours and their distance in Å.
Positions (direct):
1 Zr 0.1276 0.8724 0.0000  6 Pd 2.86-2.88, 2 Cu 2.89, 2 Zr 2.95
2 Zr 0.8724 0.1276 0.0000  6 Pd 2.86-2.88, 2 Cu 2.89, 2 Zr 2.95
3 Cu 0.5000 0.5000 0.0000  4 Pd 2.73, 4 Zr 2.89, 2 Cu 2.95
4 Pd 0.3197 0.6803 0.5000  2 Cu 2.73, 6 Zr 2.86-2.88, 4 Pd 2.95-2.98
5 Pd 0.6803 0.3197 0.5000  2 Cu 2.73, 6 Zr 2.86-2.88, 4 Pd 2.95-2.98